(1)
Co2CuBr | meta-GGA SCAN | PBEsol geometry

Cell lengths 3.043, 2.953, 6.525 Å; angles 90.00, 90.26, 90.00 degrees
Sites, in units of the cell vectors:
Co 0.000 0.000 0.000
Co 0.498 0.500 0.835
Cu 0.503 0.500 0.209
Br 0.490 0.000 0.530

Summary:
Symmetry: Pm (6)
Uncorrected energy (eV per atom): -16.936
Energy relative to the lowest polymorph listed for this composition (eV/atom): 0.000

(2)
Co2CuBr | meta-GGA SCAN | PBEsol geometry

Cell lengths 2.909, 4.630, 8.083 Å; angles 90.00, 90.00, 90.00 degrees
Sites, in units of the cell vectors:
Co 0.000 0.000 0.236
Co 0.000 0.000 0.764
Co 0.500 0.500 0.236
Co 0.500 0.500 0.764
Cu 0.000 0.500 0.000
Cu 0.500 0.000 0.000
Br 0.000 0.500 0.500
Br 0.500 0.000 0.500

Summary:
Symmetry: Cmmm (65)
Uncorrected energy (eV per atom): -16.545
Energy relative to the lowest polymorph listed for this composition (eV/atom): 0.391

(3)
CoCu3Br | meta-GGA SCAN | PBEsol geometry

Cell lengths 4.487, 4.487, 4.487 Å; angles 90.00, 90.00, 90.00 degrees
Sites, in units of the cell vectors:
Co 0.000 0.000 0.000
Cu 0.000 0.500 0.500
Cu 0.500 0.000 0.500
Cu 0.500 0.500 0.000
Br 0.500 0.500 0.500

Summary:
Symmetry: Pm-3m (221)
Uncorrected energy (eV per atom): -15.097
Energy relative to the lowest polymorph listed for this composition (eV/atom): 0.346

(4)
CoCu3Br | meta-GGA SCAN | PBEsol geometry

Cell lengths 4.413, 4.413, 4.413 Å; angles 90.00, 90.00, 90.00 degrees
Sites, in units of the cell vectors:
Co 0.000 0.000 0.000
Cu 0.000 0.000 0.500
Cu 0.000 0.500 0.000
Cu 0.500 0.000 0.000
Br 0.500 0.500 0.500

Summary:
Symmetry: Pm-3m (221)
Uncorrected energy (eV per atom): -15.443
Energy relative to the lowest polymorph listed for this composition (eV/atom): 0.000

(5)
La2CoCuBr | meta-GGA SCAN | PBEsol geometry

Cell lengths 5.436, 5.436, 4.577 Å; angles 90.00, 90.00, 90.00 degrees
Sites, in units of the cell vectors:
La 0.000 0.500 0.000
La 0.500 0.000 0.000
Co 0.000 0.000 0.500
Cu 0.500 0.500 0.000
Br 0.500 0.500 0.500

Summary:
Symmetry: P4/mmm (123)
Uncorrected energy (eV per atom): -27.313

(6)
Er6CoBr10 | meta-GGA SCAN | PBEsol geometry

Cell lengths 7.094, 8.770, 8.886 Å; angles 107.79, 97.04, 105.12 degrees
Sites, in units of the cell vectors:
Er 0.032 0.212 0.412
Er 0.122 0.545 0.255
Er 0.359 0.634 0.676
Er 0.641 0.366 0.324
Er 0.878 0.455 0.745
Er 0.968 0.788 0.588
Co 0.000 0.500 0.500
Br 0.087 0.874 0.323
Br 0.216 0.240 0.149
Br 0.258 0.586 0.963
Br 0.353 0.959 0.775
Br 0.451 0.316 0.588
Br 0.549 0.684 0.412
Br 0.647 0.041 0.225
Br 0.742 0.414 0.037
Br 0.784 0.760 0.851
Br 0.913 0.126 0.677

Summary:
Symmetry: P-1 (2)
Uncorrected energy (eV per atom): -31.937

(7)
CoHgBr2F | meta-GGA SCAN | PBEsol geometry

Cell lengths 5.107, 5.107, 3.778 Å; angles 90.00, 90.00, 90.00 degrees
Sites, in units of the cell vectors:
Co 0.000 0.000 0.000
Hg 0.500 0.500 0.500
Br 0.000 0.500 0.000
Br 0.500 0.000 0.000
F 0.000 0.000 0.500

Summary:
Symmetry: P4/mmm (123)
Uncorrected energy (eV per atom): -26.300

(8)
CoBrOF2 | meta-GGA SCAN | PBEsol geometry

Cell lengths 4.618, 4.618, 3.690 Å; angles 90.00, 90.00, 90.00 degrees
Sites, in units of the cell vectors:
Co 0.000 0.000 0.000
Br 0.500 0.500 0.500
O 0.500 0.500 0.000
F 0.000 0.500 0.500
F 0.500 0.000 0.500

Summary:
Symmetry: P4/mmm (123)
Uncorrected energy (eV per atom): -9.700

(9)
CoRh2BrF | meta-GGA SCAN | PBEsol geometry

Cell lengths 3.957, 3.957, 5.121 Å; angles 90.00, 90.00, 90.00 degrees
Sites, in units of the cell vectors:
Co 0.000 0.000 0.000
Rh 0.000 0.500 0.500
Rh 0.500 0.000 0.500
Br 0.500 0.500 0.000
F 0.500 0.500 0.500

Summary:
Symmetry: P4/mmm (123)
Uncorrected energy (eV per atom): -20.886

(10)
ZnCo2BrF | meta-GGA SCAN | PBEsol geometry

Cell lengths 4.282, 4.282, 4.690 Å; angles 90.00, 90.00, 90.00 degrees
Sites, in units of the cell vectors:
Zn 0.000 0.000 0.000
Co 0.000 0.500 0.500
Co 0.500 0.000 0.500
Br 0.500 0.500 0.500
F 0.500 0.500 0.000

Summary:
Symmetry: P4/mmm (123)
Uncorrected energy (eV per atom): -13.596

(11)
Fe2CoBr | meta-GGA SCAN | PBEsol geometry

Cell lengths 2.915, 3.128, 6.588 Å; angles 90.00, 90.00, 90.00 degrees
Sites, in units of the cell vectors:
Fe 0.000 0.000 0.183
Fe 0.000 0.000 0.817
Co 0.500 0.500 0.000
Br 0.500 0.000 0.500

Summary:
Symmetry: Pmmm (47)
Uncorrected energy (eV per atom): -18.045

(12)
FeCo2Br | meta-GGA SCAN | PBEsol geometry

Cell lengths 3.829, 3.829, 6.897 Å; angles 90.00, 90.00, 90.00 degrees
Sites, in units of the cell vectors:
Fe 0.000 0.000 0.000
Fe 0.500 0.500 0.500
Co 0.000 0.500 0.250
Co 0.000 0.500 0.750
Co 0.500 0.000 0.250
Co 0.500 0.000 0.750
Br 0.000 0.000 0.500
Br 0.500 0.500 0.000

Summary:
Symmetry: I4/mmm (139)
Uncorrected energy (eV per atom): -17.230

(13)
Fe2CoHgBr | meta-GGA SCAN | PBEsol geometry

Cell lengths 4.254, 4.254, 5.599 Å; angles 90.00, 90.00, 90.00 degrees
Sites, in units of the cell vectors:
Fe 0.000 0.500 0.000
Fe 0.500 0.000 0.000
Co 0.000 0.000 0.500
Hg 0.500 0.500 0.500
Br 0.500 0.500 0.000

Summary:
Symmetry: P4/mmm (123)
Uncorrected energy (eV per atom): -26.812

(14)
GaCo2Br | meta-GGA SCAN | PBEsol geometry

Cell lengths 5.984, 5.984, 5.984 Å; angles 90.00, 90.00, 90.00 degrees
Sites, in units of the cell vectors:
Ga 0.000 0.000 0.000
Ga 0.000 0.500 0.500
Ga 0.500 0.000 0.500
Ga 0.500 0.500 0.000
Co 0.250 0.250 0.250
Co 0.250 0.250 0.750
Co 0.250 0.750 0.250
Co 0.250 0.750 0.750
Co 0.750 0.250 0.250
Co 0.750 0.250 0.750
Co 0.750 0.750 0.250
Co 0.750 0.750 0.750
Br 0.000 0.000 0.500
Br 0.000 0.500 0.000
Br 0.500 0.000 0.000
Br 0.500 0.500 0.500

Summary:
Symmetry: Fm-3m (225)
Uncorrected energy (eV per atom): -16.868

(15)
GaCo2BrO | meta-GGA SCAN | PBEsol geometry

Cell lengths 3.732, 3.732, 6.147 Å; angles 90.00, 90.00, 90.00 degrees
Sites, in units of the cell vectors:
Ga 0.000 0.000 0.000
Co 0.000 0.500 0.500
Co 0.500 0.000 0.500
Br 0.500 0.500 0.000
O 0.000 0.000 0.500

Summary:
Symmetry: P4/mmm (123)
Uncorrected energy (eV per atom): -15.353

(16)
CoGeBr3 | meta-GGA SCAN | PBEsol geometry

Cell lengths 5.246, 5.246, 5.246 Å; angles 90.00, 90.00, 90.00 degrees
Sites, in units of the cell vectors:
Co 0.000 0.000 0.000
Ge 0.500 0.500 0.500
Br 0.000 0.500 0.500
Br 0.500 0.000 0.500
Br 0.500 0.500 0.000

Summary:
Symmetry: Pm-3m (221)
Uncorrected energy (eV per atom): -18.645

(17)
CoGeSe2Br | meta-GGA SCAN | PBEsol geometry

Cell lengths 4.909, 4.909, 5.073 Å; angles 90.00, 90.00, 90.00 degrees
Sites, in units of the cell vectors:
Co 0.000 0.000 0.000
Ge 0.500 0.500 0.500
Se 0.000 0.500 0.500
Se 0.500 0.000 0.500
Br 0.500 0.500 0.000

Summary:
Symmetry: P4/mmm (123)
Uncorrected energy (eV per atom): -18.531

(18)
CoHg2HBr | meta-GGA SCAN | PBEsol geometry

Cell lengths 5.074, 5.074, 4.567 Å; angles 90.00, 90.00, 90.00 degrees
Sites, in units of the cell vectors:
Co 0.000 0.000 0.000
Hg 0.000 0.500 0.000
Hg 0.500 0.000 0.000
H 0.500 0.500 0.500
Br 0.000 0.000 0.500

Summary:
Symmetry: P4/mmm (123)
Uncorrected energy (eV per atom): -34.756

(19)
CoH12Br2O6 | meta-GGA SCAN | PBEsol geometry

Cell lengths 6.385, 6.385, 6.732 Å; angles 120.40, 120.40, 63.87 degrees
Sites, in units of the cell vectors:
Co 0.000 0.000 0.000
H 0.187 0.187 0.535
H 0.193 0.577 0.733
H 0.214 0.693 0.215
H 0.269 0.269 0.829
H 0.307 0.786 0.785
H 0.423 0.807 0.267
H 0.577 0.193 0.733
H 0.693 0.214 0.215
H 0.731 0.731 0.171
H 0.786 0.307 0.785
H 0.807 0.423 0.267
H 0.813 0.813 0.465
Br 0.291 0.291 0.173
Br 0.709 0.709 0.827
O 0.149 0.760 0.755
O 0.240 0.851 0.245
O 0.288 0.288 0.700
O 0.712 0.712 0.300
O 0.760 0.149 0.755
O 0.851 0.240 0.245

Summary:
Symmetry: C2/m (12)
Uncorrected energy (eV per atom): -7.418

(20)
CoH8Br2O4 | meta-GGA SCAN | PBEsol geometry

Cell lengths 6.009, 7.198, 8.344 Å; angles 90.00, 110.14, 90.00 degrees
Sites, in units of the cell vectors:
Co 0.000 0.000 0.000
Co 0.000 0.500 0.500
H 0.104 0.073 0.715
H 0.104 0.427 0.215
H 0.110 0.072 0.338
H 0.110 0.428 0.838
H 0.355 0.715 0.489
H 0.355 0.785 0.989
H 0.373 0.698 0.680
H 0.373 0.802 0.180
H 0.627 0.198 0.820
H 0.627 0.302 0.320
H 0.645 0.215 0.011
H 0.645 0.285 0.511
H 0.890 0.572 0.162
H 0.890 0.928 0.662
H 0.896 0.573 0.785
H 0.896 0.927 0.285
Br 0.312 0.233 0.579
Br 0.312 0.267 0.079
Br 0.688 0.733 0.921
Br 0.688 0.767 0.421
O 0.005 0.503 0.741
O 0.005 0.997 0.241
O 0.256 0.703 0.562
O 0.256 0.797 0.062
O 0.744 0.203 0.938
O 0.744 0.297 0.438
O 0.995 0.003 0.759
O 0.995 0.497 0.259

Summary:
Symmetry: P2_1/c (14)
Uncorrected energy (eV per atom): -8.221